Record 1
Below is crystalline PtSeOF2 at its relaxed geometry, with properties calculated at the PBE level.

Computed properties:
* symmetry: P4/mmm (123)
* offset from the most stable computed form: 5.15 kcal/mol of atoms
* formation energy without anion corrections: 0.086 eV per atom

Unit cell a=4.4551 b=4.4551 c=3.7411 alpha=90.00 beta=90.00 gamma=90.00
Sites, in units of the cell vectors:
Pt 0.0000 0.0000 0.0000
Se 0.5000 0.5000 0.5000
O 0.5000 0.5000 0.0000
F 0.0000 0.5000 0.5000
F 0.5000 0.0000 0.5000



Record 2
Below is crystalline SiPtOF2 at its relaxed geometry, with properties calculated at the PBE level.

Computed properties:
* symmetry: P4/mmm (123)
* offset from the most stable computed form: 0.00 kcal/mol of atoms
* formation energy without anion corrections: -0.823 eV per atom

Unit cell a=4.2324 b=4.2324 c=3.2760 alpha=90.00 beta=90.00 gamma=90.00
Sites, in units of the cell vectors:
Si 0.0000 0.0000 0.0000
Pt 0.5000 0.5000 0.5000
O 0.0000 0.0000 0.5000
F 0.0000 0.5000 0.0000
F 0.5000 0.0000 0.0000



Record 3
Below is crystalline SiPtOF2 at its relaxed geometry, with properties calculated at the PBE level.

Computed properties:
* symmetry: P4/mmm (123)
* offset from the most stable computed form: 14.46 kcal/mol of atoms
* formation energy without anion corrections: -0.196 eV per atom

Unit cell a=4.3590 b=4.3590 c=3.9413 alpha=90.00 beta=90.00 gamma=90.00
Sites, in units of the cell vectors:
Si 0.0000 0.0000 0.0000
Pt 0.5000 0.5000 0.5000
O 0.5000 0.5000 0.0000
F 0.0000 0.5000 0.5000
F 0.5000 0.0000 0.5000



Q: Among the records above, which one has the lowest formation energy without anion corrections?
A: number 2



Q: What is the formula in the first record?
A: PtSeOF2



Q: formation energy without anion corrections of number 2 (SiPtOF2)?
A: -0.823 eV per atom



What did the first record say?
Below is crystalline PtSeOF2 at its relaxed geometry, with properties calculated at the PBE level.

Computed properties:
* symmetry: P4/mmm (123)
* offset from the most stable computed form: 5.15 kcal/mol of atoms
* formation energy without anion corrections: 0.086 eV per atom

Unit cell a=4.4551 b=4.4551 c=3.7411 alpha=90.00 beta=90.00 gamma=90.00
Sites, in units of the cell vectors:
Pt 0.0000 0.0000 0.0000
Se 0.5000 0.5000 0.5000
O 0.5000 0.5000 0.0000
F 0.0000 0.5000 0.5000
F 0.5000 0.0000 0.5000